1.
{"formula": "Ac3PrY3Se8", "functional": "GGA-PBE", "state": "optimized geometry", "cell": [[8.421, 0.000, 0.000], [-4.210, 7.293, -0.025], [0.000, -4.835, 7.137]], "species": ["Y", "Se", "Ac", "Se", "Se", "Se", "Se", "Se", "Se", "Se", "Y", "Y", "Pr", "Ac", "Ac"], "fractional_positions": [[0.500, 0.000, 0.500], [0.747, 0.018, 0.266], [0.000, 0.000, 0.000], [0.271, 0.018, 0.266], [0.253, 0.982, 0.734], [0.741, 0.482, 0.723], [0.259, 0.518, 0.277], [0.747, 0.495, 0.266], [0.729, 0.982, 0.734], [0.253, 0.505, 0.734], [0.000, 0.500, 0.500], [0.500, 0.500, 0.500], [0.000, 0.000, 0.500], [0.000, 0.500, 0.000], [0.500, 0.500, 0.000]], "dos_at_fermi_per_ev_cell": 7.595, "raw_formation_energy_kj_per_mol_atoms": -179.9, "space_group": "R-3m (166)"}

2.
{"formula": "NaSnTeN2", "functional": "GGA-PBE", "state": "optimized geometry", "cell": [[4.341, 0.000, 0.000], [0.000, 4.341, 0.000], [0.000, 0.000, 5.963]], "species": ["Te", "Sn", "N", "N", "Na"], "fractional_positions": [[0.000, 0.000, 0.500], [0.000, 0.000, 0.000], [0.000, 0.500, 0.000], [0.500, 0.000, 0.000], [0.500, 0.500, 0.500]], "dos_at_fermi_per_ev_cell": 1.886, "raw_formation_energy_kj_per_mol_atoms": 90.6, "polymorph_energy_kcal_per_mol_atoms": 0.000, "space_group": "P4/mmm (123)"}

3.
{"formula": "CaMn2Os", "functional": "GGA-PBE", "state": "optimized geometry", "cell": [[5.578, 0.097, -0.071], [2.781, 4.836, 0.071], [-3.555, -3.524, 2.463]], "species": ["Mn", "Mn", "Os", "Ca"], "fractional_positions": [[0.982, 0.982, 0.000], [0.728, 0.228, 0.500], [0.527, 0.527, 0.000], [0.263, 0.763, 0.500]], "e_form_kj_per_mol_fu": 214, "dos_at_fermi_per_ev_cell": 4.855, "polymorph_energy_kcal_per_mol_atoms": 5.424, "space_group": "Imm2 (44)"}

4.
{"formula": "Li3SmTm2S6", "functional": "GGA-PBE", "state": "optimized geometry", "cell": [[6.773, -0.003, 0.003], [-3.387, 5.865, 0.003], [-1.127, -1.951, 6.171]], "species": ["Li", "Li", "S", "S", "S", "S", "S", "Sm", "S", "Tm", "Li", "Tm"], "fractional_positions": [[0.500, 0.500, 0.500], [0.170, 0.830, 0.500], [0.741, 0.741, 0.251], [0.425, 0.083, 0.249], [0.575, 0.917, 0.751], [0.083, 0.425, 0.249], [0.917, 0.575, 0.751], [0.000, 0.000, 0.000], [0.259, 0.259, 0.749], [0.334, 0.666, 0.000], [0.830, 0.170, 0.500], [0.666, 0.334, 0.000]], "dos_at_fermi_per_ev_cell": 0.000, "raw_formation_energy_kj_per_mol_atoms": -177.6, "space_group": "C2/m (12)"}

5.
{"formula": "AcLuHgBi", "functional": "GGA-PBE", "state": "optimized geometry", "cell": [[-5.255, -0.064, 1.902], [-1.648, -4.012, 3.525], [-1.052, 1.237, 5.348]], "species": ["Bi", "Ac", "Lu", "Hg"], "fractional_positions": [[0.250, 0.250, 0.250], [0.500, 0.500, 0.500], [0.000, 0.000, 0.000], [0.750, 0.750, 0.750]], "e_form_kj_per_mol_fu": -173, "dos_at_fermi_per_ev_cell": 3.641, "space_group": "F-43m (216)"}

6.
{"formula": "MgInCoN", "functional": "GGA-PBE", "state": "optimized geometry", "cell": [[-2.512, -1.154, 2.270], [-1.815, -0.787, -2.409], [4.954, -11.033, -0.129]], "species": ["Co", "N", "Mg", "Co", "In", "Mg", "N", "In"], "fractional_positions": [[0.000, 0.500, 0.209], [0.000, 0.500, 0.638], [0.500, 0.500, 0.554], [0.000, 0.000, 0.709], [0.500, 0.000, 0.340], [0.500, 0.000, 0.054], [0.000, 0.000, 0.138], [0.500, 0.500, 0.840]], "dos_at_fermi_per_ev_cell": 2.978, "raw_formation_energy_kj_per_mol_atoms": -1.8, "polymorph_energy_kcal_per_mol_atoms": 1.923, "space_group": "Amm2 (38)"}

no.,total magnetization (μB per formula unit)
1,0.0
2,3.1
3,5.6
4,0.0
5,0.0
6,0.5